(1)
First-principles (GGA-PBE) data for a geometry-optimized Ni5Bi3Te12 structure, as listed in Alexandria. Values from VASP.

Properties
Crystal system ... cubic
N(E_F) ... 61.14 states/eV/cell
VASP energy ... -0.2915 Ry/atom
Energy relative to the elements, uncorrected ... -1.08 eV per formula unit

Geometry as Quantum ESPRESSO input:
```
&SYSTEM
  ibrav = 0, nat = 80, ntyp = 3
/
ATOMIC_SPECIES
Ni 58.69 Ni.upf
Bi 208.98 Bi.upf
Te 127.60 Te.upf
ATOMIC_POSITIONS angstrom
Ni 0.000 0.000 0.000
Ni 4.128 4.128 -4.128
Ni 4.128 -4.128 4.128
Ni 8.255 0.000 0.000
Ni 12.383 2.064 0.000
Ni 8.255 -4.128 6.192
Ni 6.192 8.255 -4.128
Ni 6.192 0.000 4.128
Ni 4.128 6.192 0.000
Ni 8.255 4.128 2.064
Ni -4.128 4.128 4.128
Ni 0.000 8.255 0.000
Ni 0.000 0.000 8.255
Ni 4.128 4.128 4.128
Ni 0.000 4.128 6.192
Ni 4.128 2.064 8.255
Ni 2.064 8.255 4.128
Ni 2.064 0.000 12.383
Ni 0.000 12.383 2.064
Ni -4.128 6.192 8.255
Bi 4.128 2.064 0.000
Bi 8.255 4.128 -2.064
Bi 2.064 0.000 4.128
Bi 10.319 0.000 4.128
Bi 0.000 4.128 2.064
Bi 4.128 -2.064 8.255
Bi 4.128 10.319 0.000
Bi 8.255 4.128 6.192
Bi -2.064 8.255 4.128
Bi 6.192 8.255 4.128
Bi 0.000 4.128 10.319
Bi 4.128 6.192 8.255
Te 2.403 -0.551 0.874
Te 9.980 5.001 -4.679
Te 10.659 0.551 0.874
Te 9.980 -3.254 4.679
Te 7.704 -0.874 2.403
Te 12.934 -1.725 3.254
Te 0.874 2.403 -0.551
Te 11.510 3.577 -1.725
Te 5.001 4.679 -1.725
Te 7.382 2.403 0.551
Te -0.551 0.874 2.403
Te 4.679 -1.725 5.001
Te 7.704 7.382 -2.403
Te 4.679 1.725 3.254
Te 5.001 -4.679 9.980
Te 7.382 -2.403 7.704
Te 3.254 4.679 1.725
Te 9.129 5.852 0.551
Te 4.679 9.980 -3.254
Te 7.704 0.874 5.852
Te 2.403 7.704 -0.874
Te 9.980 3.254 3.577
Te 1.725 3.254 4.679
Te 2.403 0.551 7.382
Te 5.852 7.704 0.874
Te 6.531 5.001 3.577
Te -1.725 5.001 4.679
Te 5.852 0.551 9.129
Te 0.551 7.382 2.403
Te 3.577 -1.725 11.510
Te -0.874 2.403 7.704
Te 5.001 3.577 6.531
Te 0.874 10.659 0.551
Te 3.254 12.934 -1.725
Te 3.577 6.531 5.001
Te 0.551 0.874 10.659
Te 3.577 9.980 3.254
Te 8.806 7.382 5.852
Te 0.874 5.852 7.704
Te 3.254 3.577 9.980
Te -3.254 4.679 9.980
Te 7.382 5.852 8.806
Te -4.679 9.980 5.001
Te 0.551 9.129 5.852
Te -1.725 11.510 3.577
Te -2.403 7.704 7.382
Te -1.725 3.254 12.934
Te 5.852 8.806 7.382
CELL_PARAMETERS angstrom
-8.255 8.255 8.255
8.255 -8.255 8.255
8.255 8.255 -8.255
```

(2)
First-principles (GGA-PBE) data for a geometry-optimized Ni2BiTe3 structure, as listed in Alexandria. Values from VASP.

Properties
Crystal system ... trigonal
N(E_F) ... 6.72 states/eV/cell
VASP energy ... -0.3162 Ry/atom
Energy relative to the elements, uncorrected ... -0.95 eV per formula unit

Geometry as Quantum ESPRESSO input:
```
&SYSTEM
  ibrav = 0, nat = 12, ntyp = 3
/
ATOMIC_SPECIES
Ni 58.69 Ni.upf
Bi 208.98 Bi.upf
Te 127.60 Te.upf
ATOMIC_POSITIONS angstrom
Ni 0.000 0.000 0.000
Ni -1.897 -1.095 5.986
Ni -1.897 1.095 11.972
Ni 0.000 2.190 5.986
Bi 0.000 0.000 4.382
Bi 0.000 0.000 13.576
Te 0.000 -2.173 7.310
Te -1.882 1.086 7.310
Te -1.882 -1.086 10.648
Te 1.882 1.086 7.310
Te 1.882 -1.086 10.648
Te 0.000 2.173 10.648
CELL_PARAMETERS angstrom
3.794 2.190 5.986
-3.794 2.190 5.986
0.000 -4.381 5.986
```

(3)
First-principles (GGA-PBE) data for a geometry-optimized NiBi2Te structure, as listed in Alexandria. Values from VASP.

Properties
Crystal system ... trigonal
N(E_F) ... 2.23 states/eV/cell
VASP energy ... -0.3032 Ry/atom
Energy relative to the elements, uncorrected ... 0.18 eV per formula unit

Geometry as Quantum ESPRESSO input:
```
&SYSTEM
  ibrav = 0, nat = 4, ntyp = 3
/
ATOMIC_SPECIES
Ni 58.69 Ni.upf
Bi 208.98 Bi.upf
Te 127.60 Te.upf
ATOMIC_POSITIONS angstrom
Ni 0.000 0.000 0.000
Bi 0.000 0.000 5.736
Bi 0.000 0.000 15.435
Te 0.000 0.000 10.585
CELL_PARAMETERS angstrom
2.080 1.201 7.057
-2.080 1.201 7.057
0.000 -2.401 7.057
```

(4)
First-principles (GGA-PBE) data for a geometry-optimized NiBi2Te structure, as listed in Alexandria. Values from VASP.

Properties
Crystal system ... tetragonal
N(E_F) ... 0.57 states/eV/cell
VASP energy ... -0.2950 Ry/atom
Energy relative to the elements, uncorrected ... 0.63 eV per formula unit

Geometry as Quantum ESPRESSO input:
```
&SYSTEM
  ibrav = 0, nat = 8, ntyp = 3
/
ATOMIC_SPECIES
Ni 58.69 Ni.upf
Bi 208.98 Bi.upf
Te 127.60 Te.upf
ATOMIC_POSITIONS angstrom
Ni 0.000 0.000 0.000
Ni 0.000 3.235 3.179
Bi 4.853 1.094 -1.590
Bi 1.094 1.618 1.590
Bi -1.618 2.141 4.769
Bi 2.141 1.618 7.948
Te 3.235 0.000 3.179
Te 0.000 0.000 6.358
CELL_PARAMETERS angstrom
-3.235 3.235 6.358
3.235 -3.235 6.358
3.235 3.235 -6.358
```

(5)
First-principles (GGA-PBE) data for a geometry-optimized NiBiTe structure, as listed in Alexandria. Values from VASP.

Properties
Crystal system ... orthorhombic
N(E_F) ... 3.55 states/eV/cell
VASP energy ... -0.3257 Ry/atom
Energy relative to the elements, uncorrected ... -0.49 eV per formula unit

Geometry as Quantum ESPRESSO input:
```
&SYSTEM
  ibrav = 0, nat = 6, ntyp = 3
/
ATOMIC_SPECIES
Ni 58.69 Ni.upf
Bi 208.98 Bi.upf
Te 127.60 Te.upf
ATOMIC_POSITIONS angstrom
Ni 0.000 1.244 0.000
Ni 2.010 4.232 3.234
Bi 0.000 2.634 4.145
Bi 2.010 2.842 0.911
Te 0.000 0.155 2.333
Te 2.010 5.321 5.567
CELL_PARAMETERS angstrom
4.020 0.000 0.000
0.000 5.476 0.000
0.000 0.000 6.468
```

(6)
First-principles (GGA-PBE) data for a geometry-optimized NiBi3Te structure, as listed in Alexandria. Values from VASP.

Properties
Crystal system ... cubic
N(E_F) ... 6.17 states/eV/cell
VASP energy ... -0.2835 Ry/atom
Energy relative to the elements, uncorrected ... 1.28 eV per formula unit

Geometry as Quantum ESPRESSO input:
```
&SYSTEM
  ibrav = 0, nat = 5, ntyp = 3
/
ATOMIC_SPECIES
Ni 58.69 Ni.upf
Bi 208.98 Bi.upf
Te 127.60 Te.upf
ATOMIC_POSITIONS angstrom
Ni 0.000 0.000 0.000
Bi 0.000 0.000 2.610
Bi 0.000 2.610 0.000
Bi 2.610 0.000 0.000
Te 2.610 2.610 2.610
CELL_PARAMETERS angstrom
5.219 0.000 0.000
0.000 5.219 0.000
0.000 0.000 5.219
```